Computed, not measured: crystalline AcV2FeO8 at its relaxed geometry at the PBE with a Hubbard U level of DFT.

CIF file:
```
data_AcV2FeO8
_chemical_formula_sum 'Ac1 V2 Fe1 O8'
_cell_length_a 5.5234
_cell_length_b 5.5234
_cell_length_c 6.7262
_cell_angle_alpha 90.00
_cell_angle_beta 90.00
_cell_angle_gamma 120.00
_space_group_name_H-M_alt 'P -3 m 1'
_space_group_IT_number 164
_space_group_name_Hall '-P 3 2"'
loop_
_atom_site_label
_atom_site_type_symbol
_atom_site_fract_x
_atom_site_fract_y
_atom_site_fract_z
Ac1 Ac 0.0000 0.0000 0.0000
V1 V 0.3333 0.6667 0.2507
Fe1 Fe 0.0000 0.0000 0.5000
O1 O 0.1570 0.3140 0.3193
O2 O 0.3333 0.6667 0.9980
```

Computed properties:
* Fermi-level density of states: 0.256 states/eV/atom
* VASP energy: -7.328 eV/atom